## 1
The following is a DFT calculation (PBE) of an optimized crystal structure of Pr6Dy4Tm.

It has space group P-6m2 (No. 187), with a = 11.1153 Å, b = 11.1153 Å, c = 3.5811 Å, α = 90.00°, β = 90.00° and γ = 120.00°. The inequivalent atoms are Pr at (0.1819, 0.3638, 0.0000), Pr at (0.5288, 0.0576, 0.5000), Dy at (0.3117, 0.1559, 0.0000), Dy at (0.3333, 0.6667, 0.5000) and Tm at (0.0000, 0.0000, 0.5000).

As for the crystal system: hexagonal. As for the density: 7.21 Mg/m³.

***

## 2
The following is a DFT calculation (PBE) of an optimized crystal structure of Pr6Dy4Tm.

It has space group I-42m (No. 121), with a = 6.6168 Å, b = 6.6168 Å, c = 17.6242 Å, α = 90.00°, β = 90.00° and γ = 90.00°. The inequivalent atoms are Pr at (0.0000, 0.5000, 0.0000), Pr at (0.1789, 0.1789, 0.1364), Dy at (0.1846, 0.1846, 0.3260) and Tm at (0.0000, 0.0000, 0.5000).

As for the crystal system: tetragonal. As for the density: 7.16 Mg/m³.

***

Which structure wins on stability? 1 wins.